This record from Alexandria via LeMat-Bulk describes La7Tm5 after structural relaxation. The functional is PBE-GGA.

abc: 5.8351 5.7250 14.9495
angles: 101.60 90.00 120.64
With the nearest neighbours (Å) after each atom.
Atoms (fractional coordinates):
Tm 0.6176 0.2353 0.8012  5 La 3.32-3.71
Tm 0.1440 0.2879 0.4414  8 La 3.32-3.71, 1 Tm 3.67
Tm 0.3824 0.7647 0.1988  5 La 3.32-3.71
Tm 0.0000 0.0000 0.0000  2 La 3.11
Tm 0.8560 0.7121 0.5586  8 La 3.32-3.71, 1 Tm 3.67
La 0.5000 0.0000 0.5000  6 Tm 3.41-3.45
La 0.2314 0.4627 0.6699  4 Tm 3.32-3.71, 2 La 3.58-3.63
La 0.9536 0.9071 0.7868  5 Tm 3.11-3.37
La 0.3126 0.6252 0.9194  6 Tm 3.51-3.83, 3 La 3.63-3.91
La 0.0464 0.0929 0.2132  5 Tm 3.11-3.37
La 0.6874 0.3748 0.0806  6 Tm 3.51-3.83, 3 La 3.63-3.91
La 0.7686 0.5373 0.3301  4 Tm 3.32-3.71, 2 La 3.58-3.63

Summary:
Space-group type: C2/m
Offset from the most stable computed form in kJ/mol of atoms: 10.93
Energy of formation from the pure elements in eV per formula unit: 1.75
DOS at the Fermi energy in states/eV/atom: 1.542